## LiSc2Sb (GGA-PBE)

Data for a relaxed LiSc2Sb crystal.

Values from the calculation:
For the total magnetic moment, the calculation gives 0.96 μB/f.u. The uncorrected energy is -20.5 eV per formula unit. As for the space group: I4/mmm.

Geometry as extended XYZ:
```
8
Lattice="4.389 0.000 0.000 0.000 4.389 0.000 0.000 0.000 8.688" Properties=species:S:1:pos:R:3 pbc="T T T"
Li 0.000 0.000 0.000
Li 2.194 2.194 4.344
Sc 0.000 2.194 2.172
Sc 0.000 2.194 6.516
Sc 2.194 0.000 2.172
Sc 2.194 0.000 6.516
Sb 0.000 0.000 4.344
Sb 2.194 2.194 0.000
```